No. 1
First-principles (PBE-GGA) data for a relaxed structure of Sr4Bi2H, as listed in Alexandria.

Values from the calculation:
Offset from the most stable computed form = 19 meV per atom
Symmetry = Pnma

POSCAR file:
```
Sr4Bi2H
1.0
9.186 0.000 0.000
0.000 7.485 0.000
0.000 0.000 14.317
Sr Bi H
16 8 4
direct
0.073 0.250 0.071
0.124 0.250 0.557
0.233 0.004 0.308
0.233 0.496 0.308
0.267 0.504 0.808
0.267 0.996 0.808
0.376 0.750 0.057
0.427 0.750 0.571
0.573 0.250 0.429
0.624 0.250 0.943
0.733 0.004 0.192
0.733 0.496 0.192
0.767 0.504 0.692
0.767 0.996 0.692
0.876 0.750 0.443
0.927 0.750 0.929
0.036 0.750 0.155
0.077 0.750 0.647
0.423 0.250 0.147
0.464 0.250 0.655
0.536 0.750 0.345
0.577 0.750 0.853
0.923 0.250 0.353
0.964 0.250 0.845
0.198 0.750 0.917
0.302 0.250 0.417
0.698 0.750 0.583
0.802 0.250 0.083
```

No. 2
First-principles (PBE-GGA) data for a relaxed structure of PrFeC, as listed in Alexandria.

Values from the calculation:
DFT formation energy = -0.071 eV per atom
Offset from the most stable computed form = 79 meV per atom
Symmetry = C2/m

POSCAR file:
```
PrFeC
1.0
5.015 -1.813 0.000
5.015 1.813 0.000
-2.096 0.000 5.436
Pr Fe C
2 2 2
direct
0.091 0.091 0.315
0.909 0.909 0.685
0.312 0.312 0.130
0.688 0.688 0.870
0.207 0.207 0.788
0.793 0.793 0.212
```

No. 3
First-principles (PBE-GGA) data for a relaxed structure of Dy4YEr10, as listed in Alexandria.

Values from the calculation:
DFT formation energy = 0.740 eV per atom
Symmetry = I4/m

POSCAR file:
```
Dy4YEr10
1.0
-6.036 6.036 3.811
6.036 -6.036 3.811
6.036 6.036 -3.811
Dy Y Er
4 1 10
direct
0.100 0.300 0.400
0.300 0.900 0.200
0.700 0.100 0.800
0.900 0.700 0.600
0.500 0.500 0.000
0.048 0.149 0.699
0.149 0.450 0.101
0.250 0.750 0.500
0.349 0.048 0.899
0.450 0.349 0.301
0.550 0.651 0.699
0.651 0.952 0.101
0.750 0.250 0.500
0.851 0.550 0.899
0.952 0.851 0.301
```

No. 4
First-principles (PBE-GGA) data for a relaxed structure of InCo2W, as listed in Alexandria.

Values from the calculation:
DFT formation energy = 0.114 eV per atom
Symmetry = P4/mmm

POSCAR file:
```
InCo2W
1.0
2.809 0.000 0.000
0.000 2.809 0.000
0.000 0.000 7.166
In Co W
1 2 1
direct
0.000 0.000 0.000
0.500 0.500 0.265
0.500 0.500 0.735
0.000 0.000 0.500
```

No. 5
First-principles (PBE-GGA) data for a relaxed structure of Hf4NiN, as listed in Alexandria.

Values from the calculation:
Energy relative to the elements, uncorrected = -0.612 eV per atom
Symmetry = P2_1/c

POSCAR file:
```
Hf4NiN
1.0
5.875 0.000 0.000
0.000 5.860 0.000
-1.138 0.000 6.022
Hf Ni N
8 2 2
direct
0.114 0.164 0.198
0.114 0.336 0.698
0.335 0.650 0.110
0.335 0.850 0.610
0.665 0.150 0.390
0.665 0.350 0.890
0.886 0.664 0.302
0.886 0.836 0.802
0.500 0.000 0.000
0.500 0.500 0.500
0.000 0.000 0.500
0.000 0.500 0.000
```

No. 6
First-principles (PBE-GGA) data for a relaxed structure of Ba3HoRh2O9, as listed in Alexandria.

Values from the calculation:
Energy relative to the elements, uncorrected = -2.045 eV per atom
Symmetry = P-3m1

POSCAR file:
```
Ba3HoRh2O9
1.0
5.874 0.000 0.000
-2.937 5.087 0.000
0.000 0.000 7.221
Ba Ho Rh O
3 1 2 9
direct
0.000 0.000 0.000
0.333 0.667 0.676
0.667 0.333 0.324
0.000 0.000 0.500
0.333 0.667 0.161
0.667 0.333 0.839
0.000 0.500 0.000
0.176 0.351 0.321
0.176 0.824 0.321
0.351 0.176 0.679
0.500 0.000 0.000
0.500 0.500 0.000
0.649 0.824 0.321
0.824 0.176 0.679
0.824 0.649 0.679
```

No. 7
First-principles (PBE-GGA) data for a relaxed structure of Tb2Pr2DyY2, as listed in Alexandria.

Values from the calculation:
DFT formation energy = 0.083 eV per atom
Symmetry = C2/m

POSCAR file:
```
Tb2Pr2DyY2
1.0
5.924 -1.769 0.000
5.924 1.769 0.000
-3.824 0.000 11.276
Tb Pr Dy Y
2 2 1 2
direct
0.228 0.228 0.366
0.772 0.772 0.634
0.327 0.327 0.914
0.673 0.673 0.086
0.000 0.000 0.500
0.451 0.451 0.230
0.549 0.549 0.770
```

No. 8
First-principles (PBE-GGA) data for a relaxed structure of TiBeVRe, as listed in Alexandria.

Values from the calculation:
DFT formation energy = -0.189 eV per atom
Symmetry = F-43m

POSCAR file:
```
TiBeVRe
1.0
0.000 3.003 3.003
3.003 0.000 3.003
3.003 3.003 0.000
Ti Be V Re
1 1 1 1
direct
0.000 0.000 0.000
0.750 0.750 0.750
0.500 0.500 0.500
0.250 0.250 0.250
```

no.,electronic total energy (eV/atom),calculated density (g/cm³)
1,-3.29,5.2
2,-7.56,7.0
3,-3.96,7.2
4,-7.36,12.2
5,-9.60,12.6
6,-6.69,7.1
7,-5.11,6.6
8,-8.49,9.0